First-principles (PBE) data for a geometry-optimized AcIn2Pd4Pt structure, as listed in Alexandria.

a b c (Å): 4.5945 4.5945 9.2632
angles (deg): 75.64 75.64 60.00
Atoms (fractional coordinates):
Ac 0.0000 0.0000 0.0000
In 0.7721 0.7721 0.6837
In 0.2279 0.2279 0.3163
Pd 0.3982 0.3982 0.8053
Pd 0.8794 0.8794 0.3619
Pd 0.1206 0.1206 0.6381
Pd 0.6018 0.6018 0.1947
Pt 0.5000 0.5000 0.5000

Computed properties:
Fermi-level density of states (states/eV per cell): 3.49
Electronic total energy (eV/atom): -5.111
Crystal system: trigonal
Total moment (μB per cell): 0.00
Formation energy (kJ per mole of atoms): -54.11
Calculated volume (Å³/cell): 162